Compound: KCr2P
Source: Alexandria
Functional: GGA-PBE
Structure: optimized geometry

abc: 5.765 5.765 8.608
angles: 70.44 70.44 90.00
Element x y z (fractional)
Cr1 0.375 0.125 0.250
Cr2 0.375 0.625 0.250
Cr3 0.375 0.625 0.750
Cr4 0.875 0.625 0.750
K1 0.000 0.000 0.000
K2 0.750 0.250 0.500
P1 0.500 0.500 0.000
P2 0.250 0.750 0.500

Properties
Calculated formation energy (meV per atom): 541
Mass density (g/cm3): 2.3
M_tot (μB/f.u.): 8.9
Symmetry: I4_1/amd (141)